Ca2TcRh: relaxed, PBE.

```
Ca2TcRh
1.0
3.2309 0.0091 0.0000
-0.0074 3.2309 0.0000
0.0000 0.0000 8.9609
Rh Ca Tc
1 2 1
Cartesian
0.0000 0.0000 4.9471
1.6118 1.6200 2.9008
0.0000 0.0000 8.3470
1.6118 1.6200 6.2074
```

## Properties
The value obtained for the density of states at the Fermi level is 1.00 states/eV/atom. For the total DFT energy (no corrections), the calculation gives -21.1 eV/cell. For the formation energy, the calculation gives 0.66 eV/f.u. The volume comes out at 23.39 Å³ per atom. The distance to the lowest polymorph of the same formula comes out at 24 meV/atom.

Th6GeIr3Rh2: relaxed, PBE.

```
Th6GeIr3Rh2
1.0
4.1590 0.0000 0.0000
0.0000 8.3482 0.3498
-2.0795 -2.3501 8.6968
Ge Rh Ir Th
1 2 3 6
Cartesian
2.0795 0.0000 0.0000
0.0000 2.0214 3.0478
2.0795 3.9767 5.9987
2.0795 -0.1948 5.8973
2.0795 4.1741 0.1749
0.0000 6.1930 3.1493
0.0000 2.1980 0.1137
0.0000 1.8813 5.9344
2.0795 3.8002 8.9329
2.0795 4.1169 3.1122
2.0795 -0.0797 3.0220
0.0000 6.0778 6.0246
```

## Properties
The value obtained for the density of states at the Fermi level is 0.49 states/eV/atom. For the total DFT energy (no corrections), the calculation gives -100.8 eV/cell. For the formation energy, the calculation gives -10.36 eV/f.u. The volume comes out at 25.45 Å³ per atom.

CaMnFe2: relaxed, PBE.

```
CaMnFe2
1.0
-5.0026 -0.3618 4.8205
4.6399 -2.3059 4.6420
0.3609 1.2857 5.4906
Mn Fe Ca
2 4 2
Cartesian
0.0000 0.0000 0.0000
-2.4115 -0.2050 7.5212
2.7553 -1.1368 4.5002
-2.8469 -0.2212 5.3420
-0.2275 0.1439 7.3040
0.3154 -1.5499 12.7600
-0.1814 -1.3338 4.7313
2.4097 -1.1770 7.4319
```

## Properties
The value obtained for the density of states at the Fermi level is 0.90 states/eV/atom. For the total DFT energy (no corrections), the calculation gives -49.9 eV/cell. For the formation energy, the calculation gives 3.15 eV/f.u. The volume comes out at 16.82 Å³ per atom. The distance to the lowest polymorph of the same formula comes out at 439 meV/atom.

Li4ZrGe2: relaxed, PBE.

```
Li4ZrGe2
1.0
7.2663 -2.2250 -0.0012
7.2663 2.2250 -0.0012
6.5856 0.0000 3.7921
Ge Li Zr
2 4 1
Cartesian
13.1818 0.0000 2.3655
7.9363 0.0000 1.4242
5.3036 0.0000 0.9517
1.5700 0.0000 0.2817
15.8146 0.0000 2.8379
19.5482 0.0000 3.5079
10.5591 0.0000 1.8948
```

## Properties
The value obtained for the density of states at the Fermi level is 0.55 states/eV/atom. For the total DFT energy (no corrections), the calculation gives -25.8 eV/cell. For the formation energy, the calculation gives -0.41 eV/f.u. The volume comes out at 17.52 Å³ per atom.

TaBi2AsPb: relaxed, PBE.

```
TaBi2AsPb
1.0
-4.5612 -0.0956 3.3936
-1.1818 -4.3907 -1.7122
3.1004 -2.4328 4.0986
Bi As Ta Pb
2 1 1 1
Cartesian
1.5502 -1.2164 2.0493
-2.2806 -0.0478 1.6968
0.0000 0.0000 0.0000
-0.5909 -2.1954 -0.8561
-1.3213 -3.4596 2.8900
```

## Properties
The value obtained for the density of states at the Fermi level is 1.08 states/eV/atom. For the total DFT energy (no corrections), the calculation gives -24.3 eV/cell. For the formation energy, the calculation gives 3.71 eV/f.u. The volume comes out at 31.42 Å³ per atom.

Mn2AgC: relaxed, PBE.

```
Mn2AgC
1.0
-5.5019 1.1914 2.5218
-1.3769 -6.0106 -0.1643
-2.3401 -2.7311 3.7290
Ag Mn C
2 4 2
Cartesian
-5.6407 -1.9746 3.7148
0.0000 0.0000 0.0000
-4.4881 -4.5254 3.6625
-2.7465 -4.1577 1.4259
-7.6205 -5.5952 4.8779
-3.5826 -0.8223 2.2068
-3.5782 -5.5756 2.3717
-3.4394 -2.4096 1.1787
```

## Properties
The value obtained for the density of states at the Fermi level is 0.35 states/eV/atom. For the total DFT energy (no corrections), the calculation gives -56.7 eV/cell. For the formation energy, the calculation gives 2.05 eV/f.u. The volume comes out at 13.30 Å³ per atom.

Sr2InTe5Pb: relaxed, PBE.

```
Sr2InTe5Pb
1.0
-4.3373 1.2750 -0.1129
1.3176 -2.6387 10.1533
3.6973 12.8305 2.8546
Pb Te Sr In
2 10 4 2
Cartesian
-0.7042 6.2462 7.0231
-0.2937 -0.5937 4.5783
0.6747 10.5050 2.1420
-1.8627 2.1265 5.0064
0.6523 10.7995 6.3323
-0.8316 6.1334 10.6455
0.1442 1.4522 10.8622
-0.5619 6.4641 4.0167
2.0675 7.6994 7.5236
0.1678 0.6783 1.2138
0.7877 3.3127 7.1513
3.0528 11.2949 10.2782
0.1829 9.5175 9.8871
2.3029 8.1979 4.1096
0.9383 3.4886 3.3504
-2.1964 1.2867 8.3444
1.2125 12.5002 4.0157
0.9128 3.9902 9.9970
```

## Properties
The value obtained for the density of states at the Fermi level is 0.52 states/eV/atom. For the total DFT energy (no corrections), the calculation gives -66.9 eV/cell. The volume comes out at 35.43 Å³ per atom. Its formation energy without anion corrections is -0.883 eV/atom.

Mn5Ir: relaxed, PBE.

```
Mn5Ir
1.0
-1.2313 -1.9110 -3.7961
1.8161 -2.4365 3.2162
-3.7079 -0.7066 1.5584
Mn Ir
5 1
Cartesian
0.8109 -2.2449 0.9114
0.0050 -0.0374 -0.0050
-1.2486 -1.1655 1.8513
-2.2644 -0.9903 -0.4862
-0.2312 -2.0652 -1.4864
-1.4641 -3.2516 0.3926
```

## Properties
The value obtained for the density of states at the Fermi level is 1.12 states/eV/atom. For the total DFT energy (no corrections), the calculation gives -55.0 eV/cell. For the formation energy, the calculation gives -0.29 eV/f.u. The volume comes out at 11.54 Å³ per atom. The distance to the lowest polymorph of the same formula comes out at 59 meV/atom.

Al4ZnAg: relaxed, PBE.

```
Al4ZnAg
1.0
2.8638 0.0000 0.0000
0.0000 7.5501 0.0000
0.0000 0.0000 9.3895
Al Zn Ag
8 2 2
Cartesian
1.4319 2.4368 4.6244
1.4319 5.1133 4.7651
1.4319 6.7103 2.3474
0.0000 0.0000 4.6947
1.4319 2.4368 0.0704
1.4319 0.8398 7.0421
1.4319 5.1132 9.3191
0.0000 0.0000 0.0000
0.0000 3.2335 7.0421
0.0000 4.3166 2.3474
0.0000 5.9306 7.0421
0.0000 1.6195 2.3474
```

## Properties
The value obtained for the density of states at the Fermi level is 0.41 states/eV/atom. For the total DFT energy (no corrections), the calculation gives -37.6 eV/cell. For the formation energy, the calculation gives 0.28 eV/f.u. The volume comes out at 16.92 Å³ per atom. The distance to the lowest polymorph of the same formula comes out at 58 meV/atom.

SbAs2Au: relaxed, PBE.

```
SbAs2Au
1.0
5.2558 0.0000 0.0000
0.0000 3.9841 0.0018
0.0000 0.2457 4.2311
Sb As Au
1 2 1
Cartesian
2.6279 3.1724 3.1747
0.0000 2.0629 1.8856
0.0000 0.0521 0.2308
2.6279 1.0575 1.0582
```

## Properties
The value obtained for the density of states at the Fermi level is 0.42 states/eV/atom. For the total DFT energy (no corrections), the calculation gives -16.2 eV/cell. The volume comes out at 22.15 Å³ per atom. Its formation energy without anion corrections is 0.118 eV/atom.

NiAgPb: relaxed, PBE.

```
NiAgPb
1.0
3.5563 0.0000 0.0000
-1.7782 4.8522 -0.8240
0.0000 -5.0160 7.4244
Pb Ag Ni
2 2 2
Cartesian
1.7782 1.5484 0.8414
0.0000 -1.7121 5.7591
1.7782 -1.1639 3.1220
0.0000 1.0002 3.4785
0.0000 -0.5526 1.1462
1.7782 0.3889 5.4543
```

## Properties
The value obtained for the density of states at the Fermi level is 0.66 states/eV/atom. For the total DFT energy (no corrections), the calculation gives -23.6 eV/cell. For the formation energy, the calculation gives 0.53 eV/f.u. The volume comes out at 18.90 Å³ per atom. The distance to the lowest polymorph of the same formula comes out at 0 meV/atom.

RbTlI2N: relaxed, PBE.

```
RbTlI2N
1.0
-3.9689 5.3144 1.7555
0.1495 -2.0507 6.5459
4.5489 3.1097 0.8703
I N Tl Rb
2 1 1 1
Cartesian
-1.9844 2.6572 0.8778
0.0748 -1.0254 3.2730
2.2744 1.5548 0.4352
0.3647 3.1867 4.5859
0.0000 0.0000 0.0000
```

## Properties
The value obtained for the density of states at the Fermi level is 0.60 states/eV/atom. For the total DFT energy (no corrections), the calculation gives -12.7 eV/cell. The volume comes out at 52.52 Å³ per atom. The distance to the lowest polymorph of the same formula comes out at 331 meV/atom. Its formation energy without anion corrections is 0.412 eV/atom.

Question: What is the density of states at the Fermi level in the sixth record?
Answer: 0.35 states/eV/atom

Question: The lowest density of states at the Fermi level belongs to which entry?
Answer: Mn2AgC

Question: Which of these has the highest volume?
Answer: RbTlI2N